# 1
Compound: Tb2AgS
Source: Alexandria via LeMat-Bulk
Functional: PBE-GGA
Structure: relaxed

Summary:
Volume ... 23.5 Å³ per atom
Energy above the lowest structure with this stoichiometry ... 0 meV per atom
Energy ... -5.198 eV per atom
N(E_F) ... 0.543 states/eV per atom

Cell: 4.0764 3.9794 11.7573 Å, 99.74 90.00 90.00°
Fractional positions:
Tb1 0.7500 0.6888 0.3776
Tb2 0.2500 0.3112 0.6224
Tb3 0.7500 0.9247 0.8493
Tb4 0.2500 0.0753 0.1507
Ag1 0.2500 0.4573 0.9146
Ag2 0.7500 0.5427 0.0854
S1 0.2500 0.1936 0.3872
S2 0.7500 0.8064 0.6128

# 2
Compound: Tb6AgS8
Source: Alexandria via LeMat-Bulk
Functional: PBE-GGA
Structure: relaxed

Summary:
Volume ... 22.6 Å³ per atom
Energy ... -6.088 eV per atom
N(E_F) ... 0.312 states/eV per atom

Cell: 7.8232 7.8232 7.8232 Å, 60.00 60.00 60.00°
Fractional positions:
Tb1 0.0000 0.5000 0.5000
Tb2 0.5000 0.0000 0.0000
Tb3 0.5000 0.5000 0.0000
Tb4 0.0000 0.0000 0.5000
Tb5 0.0000 0.5000 0.0000
Tb6 0.5000 0.0000 0.5000
Ag1 0.0000 0.0000 0.0000
S1 0.7500 0.7500 0.7500
S2 0.2500 0.2500 0.2500
S3 0.7457 0.2543 0.2543
S4 0.2543 0.7457 0.7457
S5 0.2543 0.2543 0.7457
S6 0.7457 0.7457 0.2543
S7 0.7457 0.2543 0.7457
S8 0.2543 0.7457 0.2543

# 3
Compound: TbAg2S2
Source: Alexandria via LeMat-Bulk
Functional: PBE-GGA
Structure: relaxed

Summary:
Volume ... 20.9 Å³ per atom
Energy ... -4.416 eV per atom
N(E_F) ... 0.534 states/eV per atom

Cell: 7.3065 5.6926 5.6926 Å, 88.53 109.78 109.78°
Fractional positions:
Tb1 0.2500 0.8519 0.1481
Tb2 0.7500 0.1481 0.8519
Ag1 0.0000 0.5000 0.5000
Ag2 0.0000 0.0000 0.5000
Ag3 0.5000 0.5000 0.5000
Ag4 0.5000 0.5000 0.0000
S1 0.1858 0.3214 0.1125
S2 0.8142 0.6786 0.8875
S3 0.3142 0.8875 0.6786
S4 0.6858 0.1125 0.3214

# 4
Compound: Tb2AgS
Source: Alexandria via LeMat-Bulk
Functional: PBE-GGA
Structure: relaxed

Summary:
Volume ... 24.1 Å³ per atom
Energy above the lowest structure with this stoichiometry ... 79 meV per atom
Energy ... -5.119 eV per atom
N(E_F) ... 0.722 states/eV per atom

Cell: 3.9174 3.9174 7.6109 Å, 75.09 75.09 60.00°
Fractional positions:
S1 0.0000 0.0000 0.0000
Tb1 0.7409 0.7409 0.7772
Tb2 0.2591 0.2591 0.2228
Ag1 0.5000 0.5000 0.5000

# 5
Compound: Tb6AgS5
Source: Alexandria via LeMat-Bulk
Functional: PBE-GGA
Structure: relaxed

Summary:
Volume ... 22.2 Å³ per atom
Energy ... -5.973 eV per atom
N(E_F) ... 0.417 states/eV per atom

Cell: 6.8870 6.8870 6.8714 Å, 99.62 99.62 120.07°
Fractional positions:
S1 0.8355 0.1645 0.5000
S2 0.6659 0.3341 0.0000
S3 0.5000 0.5000 0.5000
S4 0.3341 0.6659 0.0000
S5 0.1645 0.8355 0.5000
Tb1 0.4315 0.0841 0.2563
Tb2 0.9159 0.5685 0.7437
Tb3 0.2603 0.2603 0.7432
Tb4 0.7397 0.7397 0.2568
Tb5 0.0841 0.4315 0.2563
Tb6 0.5685 0.9159 0.7437
Ag1 0.0000 0.0000 0.0000

# 6
Compound: TbAg3S3
Source: Alexandria via LeMat-Bulk
Functional: PBE-GGA
Structure: relaxed

Summary:
Volume ... 21.9 Å³ per atom
Energy ... -4.397 eV per atom

Cell: 7.2675 7.2675 7.9048 Å, 62.63 62.63 60.00°
Fractional positions:
Tb1 0.3344 0.3344 0.9969
Tb2 0.6656 0.6656 0.0031
Ag1 0.4362 0.8039 0.6329
Ag2 0.8039 0.1271 0.6329
Ag3 0.1271 0.4362 0.6329
Ag4 0.8729 0.5638 0.3671
Ag5 0.1961 0.8729 0.3671
Ag6 0.5638 0.1961 0.3671
S1 0.2773 0.5712 0.2225
S2 0.9290 0.2773 0.2225
S3 0.5712 0.9290 0.2225
S4 0.4288 0.0710 0.7775
S5 0.0710 0.7227 0.7775
S6 0.7227 0.4288 0.7775

# 7
Compound: Tb5AgS4
Source: Alexandria via LeMat-Bulk
Functional: PBE-GGA
Structure: relaxed

Summary:
Volume ... 22.4 Å³ per atom
Energy ... -5.877 eV per atom
N(E_F) ... 0.638 states/eV per atom

Cell: 3.9332 6.9570 8.9132 Å, 75.75 77.25 73.58°
Fractional positions:
Tb1 0.2044 0.9011 0.6901
Tb2 0.7956 0.0989 0.3099
Tb3 0.3914 0.3255 0.8917
Tb4 0.0000 0.5000 0.5000
Tb5 0.6086 0.6745 0.1083
Ag1 0.0000 0.0000 0.0000
S1 0.5982 0.2046 0.5989
S2 0.2029 0.3890 0.2052
S3 0.7971 0.6110 0.7948
S4 0.4018 0.7954 0.4011

# 8
Compound: Tb3Ag3TeS8
Source: Alexandria via LeMat-Bulk
Functional: PBE-GGA
Structure: relaxed

Summary:
Volume ... 23.2 Å³ per atom
Energy ... -4.915 eV per atom

Cell: 8.0123 8.0093 7.7980 Å, 121.09 90.00 120.01°
Fractional positions:
Tb1 0.5000 0.0000 0.5000
Tb2 0.5000 0.5000 0.5000
Tb3 0.0000 0.5000 0.5000
Ag1 0.0000 0.0000 0.0000
Ag2 0.0000 0.5000 0.0000
Ag3 0.5000 0.5000 0.0000
Te1 0.0000 0.0000 0.5000
S1 0.2538 0.5075 0.2627
S2 0.7462 0.4925 0.7373
S3 0.7603 0.5206 0.2645
S4 0.2397 0.4794 0.7355
S5 0.7602 0.0027 0.2644
S6 0.2398 0.9973 0.7356
S7 0.2425 0.0027 0.2644
S8 0.7575 0.9973 0.7356